Record 1
SmHo5In after structural relaxation. Source: the Alexandria database, functional PBE-GGA.

Cell and atoms, written as POSCAR:
```
SmHo5In
1.0
-8.780 6.383 1.675
-3.644 -5.251 0.909
6.854 -0.483 1.760
Ho Sm In
5 1 1
Direct
0.354 0.235 0.000 Ho
0.833 0.755 0.511 Ho
0.354 0.765 0.000 Ho
0.322 0.245 0.489 Ho
0.101 0.500 0.000 Ho
0.737 0.000 0.000 Sm
0.828 0.500 0.000 In
```

Computed properties:
calculated volume	221	Å³ per cell
D(E_F)	1.317	states/eV/atom
formation energy from the elements	0.094	eV per atom
density	8.18	g/cm3

Record 2
Sm2HoIn4 after structural relaxation. Source: the Alexandria database, functional PBE-GGA.

Cell and atoms, written as POSCAR:
```
Sm2HoIn4
1.0
5.027 0.000 -1.602
-0.511 5.001 -1.602
-0.126 -0.139 8.291
In Ho Sm
4 1 2
Direct
0.111 0.611 0.223 In
0.389 0.889 0.777 In
0.889 0.389 0.777 In
0.611 0.111 0.223 In
0.000 0.000 0.000 Ho
0.749 0.749 0.498 Sm
0.251 0.251 0.502 Sm
```

Computed properties:
calculated volume	206	Å³ per cell
E above lowest polymorph	0.00	eV per formula unit
D(E_F)	0.743	states/eV/atom
formation energy from the elements	-0.323	eV per atom
density	7.45	g/cm3

Record 3
Sm3HoIn4 after structural relaxation. Source: the Alexandria database, functional PBE-GGA.

Cell and atoms, written as POSCAR:
```
Sm3HoIn4
1.0
-0.387 -0.387 3.473
3.360 -6.122 -0.307
6.952 7.812 -0.135
In Sm Ho
4 3 1
Direct
0.625 0.845 0.251 In
0.625 0.406 0.251 In
0.375 0.155 0.749 In
0.375 0.594 0.749 In
0.224 0.224 0.447 Sm
0.000 0.500 0.000 Sm
0.776 0.776 0.553 Sm
0.500 0.000 0.000 Ho
```

Computed properties:
calculated volume	238	Å³ per cell
E above lowest polymorph	1.37	eV per formula unit
D(E_F)	0.909	states/eV/atom
formation energy from the elements	-0.312	eV per atom
density	7.49	g/cm3

Record 4
Sm4Ho5In after structural relaxation. Source: the Alexandria database, functional PBE-GGA.

Cell and atoms, written as POSCAR:
```
Sm4Ho5In
1.0
-4.040 -2.700 -3.175
-0.983 -7.640 2.442
-7.335 0.888 3.272
Ho Sm In
5 4 1
Direct
0.771 0.370 0.000 Ho
0.141 0.630 0.000 Ho
0.668 0.000 0.000 Ho
0.141 0.000 0.630 Ho
0.771 0.000 0.370 Ho
0.458 0.688 0.312 Sm
0.146 0.312 0.312 Sm
0.771 0.688 0.688 Sm
0.458 0.312 0.688 Sm
0.185 0.000 0.000 In
```

Computed properties:
calculated volume	330	Å³ per cell
E above lowest polymorph	1.73	eV per formula unit
D(E_F)	1.414	states/eV/atom
formation energy from the elements	0.091	eV per atom
density	7.75	g/cm3

Number 1: uncorrected energy -4.24 eV per atom. Number 2: uncorrected energy -3.89 eV per atom. Number 3: uncorrected energy -4.02 eV per atom. Number 4: uncorrected energy -4.36 eV per atom.